! Y2InP GGA-PBEsol relaxed; values from VASP
&SYSTEM
  ibrav = 0, nat = 4, ntyp = 3
/
ATOMIC_SPECIES
In 114.82 In.upf
P 30.97 P.upf
Y 88.91 Y.upf
CELL_PARAMETERS angstrom
3.421 0.274 0.000
-0.286 3.420 0.000
0.000 0.000 7.772
ATOMIC_POSITIONS angstrom
In 1.567 1.847 3.886
P 1.567 1.847 0.000
Y 0.000 0.000 1.631
Y 0.000 0.000 6.142
! * volume: 91.52 Å³ per cell
! * DOS at the Fermi energy: 0.858 states/eV/atom
! * SG: Cmmm (65)
! * relative energy among the computed polymorphs: 0.2038 eV per atom

***

! ZnIn4P GGA-PBEsol relaxed; values from VASP
&SYSTEM
  ibrav = 0, nat = 6, ntyp = 3
/
ATOMIC_SPECIES
In 114.82 In.upf
P 30.97 P.upf
Zn 65.41 Zn.upf
CELL_PARAMETERS angstrom
5.917 0.000 0.000
2.959 5.125 0.000
2.959 1.708 4.831
ATOMIC_POSITIONS angstrom
In 4.440 2.564 1.813
In 5.917 3.416 4.225
In 7.394 2.564 1.813
In 5.917 5.122 1.813
P 8.876 5.125 3.624
Zn 0.000 0.000 0.000
! * volume: 146.51 Å³ per cell
! * electronic total energy: -2.700 eV/atom
! * DOS at the Fermi energy: 0.537 states/eV/atom
! * SG: F-43m (216)

***

! ZnInP2 GGA-PBEsol relaxed; values from VASP
&SYSTEM
  ibrav = 0, nat = 4, ntyp = 3
/
ATOMIC_SPECIES
In 114.82 In.upf
P 30.97 P.upf
Zn 65.41 Zn.upf
CELL_PARAMETERS angstrom
4.597 0.000 0.000
2.298 3.981 0.000
2.298 1.327 3.753
ATOMIC_POSITIONS angstrom
In 4.597 2.654 1.877
P 0.000 0.000 0.000
P 6.895 3.981 2.815
Zn 2.298 1.327 0.938
! * volume: 68.67 Å³ per cell
! * electronic total energy: -3.596 eV/atom
! * DOS at the Fermi energy: 0.445 states/eV/atom
! * SG: F-43m (216)

***

! ZnIn2P GGA-PBEsol relaxed; values from VASP
&SYSTEM
  ibrav = 0, nat = 4, ntyp = 3
/
ATOMIC_SPECIES
In 114.82 In.upf
P 30.97 P.upf
Zn 65.41 Zn.upf
CELL_PARAMETERS angstrom
3.820 0.000 0.000
0.000 4.869 0.290
0.000 -2.059 4.440
ATOMIC_POSITIONS angstrom
In 0.000 -1.853 4.320
In 1.910 2.861 1.488
P 0.000 1.196 2.494
Zn 1.910 -0.048 3.234
! * volume: 84.87 Å³ per cell
! * DOS at the Fermi energy: 0.318 states/eV/atom
! * SG: Pm (6)
! * relative energy among the computed polymorphs: 0.0000 eV per atom

***

! ZnIn2P GGA-PBEsol relaxed; values from VASP
&SYSTEM
  ibrav = 0, nat = 4, ntyp = 3
/
ATOMIC_SPECIES
In 114.82 In.upf
P 30.97 P.upf
Zn 65.41 Zn.upf
CELL_PARAMETERS angstrom
-1.001 3.654 -0.795
-2.616 -0.096 2.852
5.636 0.046 2.544
ATOMIC_POSITIONS angstrom
In 0.000 0.000 0.000
In 1.414 2.740 1.389
P -1.808 1.779 1.029
Zn 0.606 0.865 3.212
! * volume: 83.11 Å³ per cell
! * DOS at the Fermi energy: 0.359 states/eV/atom
! * SG: I-4m2 (119)
! * relative energy among the computed polymorphs: 0.1641 eV per atom

***

! ZrIn2P GGA-PBEsol relaxed; values from VASP
&SYSTEM
  ibrav = 0, nat = 4, ntyp = 3
/
ATOMIC_SPECIES
In 114.82 In.upf
P 30.97 P.upf
Zr 91.22 Zr.upf
CELL_PARAMETERS angstrom
3.084 0.042 0.000
-0.751 2.992 0.000
0.000 0.000 8.837
ATOMIC_POSITIONS angstrom
In 0.000 0.000 2.316
In 0.000 0.000 6.522
P 1.167 1.517 4.419
Zr 1.167 1.517 0.000
! * volume: 81.84 Å³ per cell
! * electronic total energy: -5.100 eV/atom
! * DOS at the Fermi energy: 0.828 states/eV/atom
! * SG: Cmmm (65)

***

! ZrInP GGA-PBEsol relaxed; values from VASP
&SYSTEM
  ibrav = 0, nat = 3, ntyp = 3
/
ATOMIC_SPECIES
In 114.82 In.upf
P 30.97 P.upf
Zr 91.22 Zr.upf
CELL_PARAMETERS angstrom
-0.030 2.817 2.054
-3.360 0.525 -0.768
0.331 -4.585 3.333
ATOMIC_POSITIONS angstrom
In -0.019 -0.040 0.054
P -0.770 -1.646 2.246
Zr -2.270 0.442 2.319
! * volume: 62.17 Å³ per cell
! * DOS at the Fermi energy: 0.553 states/eV/atom
! * SG: I4mm (107)
! * relative energy among the computed polymorphs: 0.0000 eV per atom

***

! ZrInP GGA-PBEsol relaxed; values from VASP
&SYSTEM
  ibrav = 0, nat = 3, ntyp = 3
/
ATOMIC_SPECIES
In 114.82 In.upf
P 30.97 P.upf
Zr 91.22 Zr.upf
CELL_PARAMETERS angstrom
3.614 0.000 0.000
-1.807 3.130 0.000
0.000 0.000 5.716
ATOMIC_POSITIONS angstrom
In 0.000 0.000 5.595
P 0.000 2.086 3.632
Zr 1.807 1.043 2.204
! * volume: 64.64 Å³ per cell
! * DOS at the Fermi energy: 0.983 states/eV/atom
! * SG: P3m1 (156)
! * relative energy among the computed polymorphs: 0.2747 eV per atom

***

Please write out number 7 again, unchanged.
! ZrInP GGA-PBEsol relaxed; values from VASP
&SYSTEM
  ibrav = 0, nat = 3, ntyp = 3
/
ATOMIC_SPECIES
In 114.82 In.upf
P 30.97 P.upf
Zr 91.22 Zr.upf
CELL_PARAMETERS angstrom
-0.030 2.817 2.054
-3.360 0.525 -0.768
0.331 -4.585 3.333
ATOMIC_POSITIONS angstrom
In -0.019 -0.040 0.054
P -0.770 -1.646 2.246
Zr -2.270 0.442 2.319
! * volume: 62.17 Å³ per cell
! * DOS at the Fermi energy: 0.553 states/eV/atom
! * SG: I4mm (107)
! * relative energy among the computed polymorphs: 0.0000 eV per atom

***

Which of these has the highest volume? ZnIn4P

***

Copy entry 3 word for word.
! ZnInP2 GGA-PBEsol relaxed; values from VASP
&SYSTEM
  ibrav = 0, nat = 4, ntyp = 3
/
ATOMIC_SPECIES
In 114.82 In.upf
P 30.97 P.upf
Zn 65.41 Zn.upf
CELL_PARAMETERS angstrom
4.597 0.000 0.000
2.298 3.981 0.000
2.298 1.327 3.753
ATOMIC_POSITIONS angstrom
In 4.597 2.654 1.877
P 0.000 0.000 0.000
P 6.895 3.981 2.815
Zn 2.298 1.327 0.938
! * volume: 68.67 Å³ per cell
! * electronic total energy: -3.596 eV/atom
! * DOS at the Fermi energy: 0.445 states/eV/atom
! * SG: F-43m (216)